(1)
The following is a PBE calculation of a geometry-optimized CdSi2W structure, from the Alexandria database.

```
CdSi2W
1.0
-1.335 0.778 2.429
-2.063 0.206 -1.997
-2.187 -8.168 1.415
Cd Si W
1 2 1
Direct
0.500 0.500 0.750
0.000 0.000 0.035
0.000 0.000 0.465
0.500 0.500 0.250
```

Magnetic moment (μB/f.u.): 0.00
Energy (eV for the cell shown): -23.29


(2)
The following is a PBE calculation of a geometry-optimized Ge4Te5Au2 structure, from the Alexandria database.

```
Ge4Te5Au2
1.0
4.065 0.000 0.000
0.000 8.049 1.473
-2.032 -0.233 9.512
Ge Te Au
4 5 2
Direct
0.607 0.530 0.214
0.048 0.764 0.095
0.393 0.470 0.786
0.952 0.236 0.905
0.187 0.835 0.373
0.813 0.165 0.627
0.119 0.302 0.237
0.500 0.000 0.000
0.881 0.698 0.763
0.733 0.617 0.465
0.267 0.383 0.535
```

Magnetic moment (μB/f.u.): 0.00
Energy (eV for the cell shown): -40.22


Question: Look up the energy of the second one.
Answer: -40.22 eV for the cell shown


Question: Look up the energy of the first one.
Answer: -23.29 eV for the cell shown


Copy entry 2 word for word.
The following is a PBE calculation of a geometry-optimized Ge4Te5Au2 structure, from the Alexandria database.

```
Ge4Te5Au2
1.0
4.065 0.000 0.000
0.000 8.049 1.473
-2.032 -0.233 9.512
Ge Te Au
4 5 2
Direct
0.607 0.530 0.214
0.048 0.764 0.095
0.393 0.470 0.786
0.952 0.236 0.905
0.187 0.835 0.373
0.813 0.165 0.627
0.119 0.302 0.237
0.500 0.000 0.000
0.881 0.698 0.763
0.733 0.617 0.465
0.267 0.383 0.535
```

Magnetic moment (μB/f.u.): 0.00
Energy (eV for the cell shown): -40.22